(1)
# LiCo2Si (PBE-GGA, relaxed)
data_LiCo2Si
_chemical_formula_sum 'Li1 Co2 Si1'
_cell_length_a 2.537
_cell_length_b 3.704
_cell_length_c 4.779
_cell_angle_alpha 90.00
_cell_angle_beta 99.88
_cell_angle_gamma 90.00
_space_group_name_H-M_alt 'P 1 2/m 1'
_space_group_IT_number 10
loop_
_space_group_symop_operation_xyz
'x,y,z'
'-x,-y,-z'
'-x,y,-z'
'x,-y,z'
loop_
_atom_site_label
_atom_site_fract_x
_atom_site_fract_y
_atom_site_fract_z
Li1 0.000 0.000 0.000
Co1 0.284 0.500 0.743
Si1 0.500 0.000 0.500
# Calculated density in g/cm³: 5.74
# Calculated volume in Å³/cell: 44
# E_form (uncorrected) in kJ/mol of formula units: -42

***

(2)
# LiCo2Si (PBE-GGA, relaxed)
data_LiCo2Si
_chemical_formula_sum 'Li1 Co2 Si1'
_cell_length_a 2.557
_cell_length_b 3.501
_cell_length_c 4.938
_cell_angle_alpha 90.00
_cell_angle_beta 90.00
_cell_angle_gamma 90.00
_space_group_name_H-M_alt 'P m m 2'
_space_group_IT_number 25
loop_
_space_group_symop_operation_xyz
'x,y,z'
'-x,-y,z'
'-x,y,z'
'x,-y,z'
loop_
_atom_site_label
_atom_site_fract_x
_atom_site_fract_y
_atom_site_fract_z
Li1 0.000 0.000 0.000
Co1 0.000 0.000 0.497
Co2 0.500 0.500 0.763
Si1 0.500 0.500 0.273
# Calculated density in g/cm³: 5.74
# Calculated volume in Å³/cell: 44
# E_form (uncorrected) in kJ/mol of formula units: -35

***

(3)
# Li3CoSi (PBE-GGA, relaxed)
data_Li3CoSi
_chemical_formula_sum 'Li3 Co1 Si1'
_cell_length_a 4.426
_cell_length_b 4.426
_cell_length_c 4.426
_cell_angle_alpha 90.00
_cell_angle_beta 90.00
_cell_angle_gamma 90.00
_space_group_name_H-M_alt 'P m -3 m'
_space_group_IT_number 221
_space_group_name_Hall '-P 4 2 3'
loop_
_atom_site_label
_atom_site_fract_x
_atom_site_fract_y
_atom_site_fract_z
Li1 0.000 0.000 0.500
Co1 0.000 0.000 0.000
Si1 0.500 0.500 0.500
# Calculated density in g/cm³: 2.07
# Calculated volume in Å³/cell: 87
# E_form (uncorrected) in kJ/mol of formula units: 365

***

(4)
# LiCo2Si (PBE-GGA, relaxed)
data_LiCo2Si
_chemical_formula_sum 'Li2 Co4 Si2'
_cell_length_a 3.946
_cell_length_b 3.946
_cell_length_c 5.572
_cell_angle_alpha 90.00
_cell_angle_beta 90.00
_cell_angle_gamma 90.00
_space_group_name_H-M_alt 'I -4 m 2'
_space_group_IT_number 119
_space_group_name_Hall 'I -4 -2'
loop_
_atom_site_label
_atom_site_fract_x
_atom_site_fract_y
_atom_site_fract_z
Li1 0.000 0.000 0.000
Co1 0.000 0.000 0.500
Co2 0.000 0.500 0.250
Si1 0.000 0.500 0.750
# Calculated density in g/cm³: 5.85
# Calculated volume in Å³/cell: 87
# E_form (uncorrected) in kJ/mol of formula units: -78

***

(5)
# SrLi2CoSi (PBE-GGA, relaxed)
data_SrLi2CoSi
_chemical_formula_sum 'Sr1 Li2 Co1 Si1'
_cell_length_a 4.730
_cell_length_b 4.730
_cell_length_c 4.395
_cell_angle_alpha 90.00
_cell_angle_beta 90.00
_cell_angle_gamma 90.00
_space_group_name_H-M_alt 'P 4/m m m'
_space_group_IT_number 123
_space_group_name_Hall '-P 4 2'
loop_
_atom_site_label
_atom_site_fract_x
_atom_site_fract_y
_atom_site_fract_z
Sr1 0.000 0.000 0.000
Li1 0.000 0.500 0.500
Co1 0.500 0.500 0.500
Si1 0.500 0.500 0.000
# Calculated density in g/cm³: 3.18
# Calculated volume in Å³/cell: 98
# E_form (uncorrected) in kJ/mol of formula units: -52

***

(6)
# LiTaCo2Si (PBE-GGA, relaxed)
data_LiTaCo2Si
_chemical_formula_sum 'Li1 Ta1 Co2 Si1'
_cell_length_a 4.230
_cell_length_b 4.230
_cell_length_c 4.709
_cell_angle_alpha 90.00
_cell_angle_beta 90.00
_cell_angle_gamma 90.00
_space_group_name_H-M_alt 'P 4/m m m'
_space_group_IT_number 123
_space_group_name_Hall '-P 4 2'
loop_
_atom_site_label
_atom_site_fract_x
_atom_site_fract_y
_atom_site_fract_z
Li1 0.000 0.000 0.000
Ta1 0.500 0.500 0.000
Co1 0.000 0.500 0.500
Si1 0.500 0.500 0.500
# Calculated density in g/cm³: 6.58
# Calculated volume in Å³/cell: 84
# E_form (uncorrected) in kJ/mol of formula units: 348

***

(7)
# LiTbCoSi (PBE-GGA, relaxed)
data_LiTbCoSi
_chemical_formula_sum 'Li4 Tb4 Co4 Si4'
_cell_length_a 6.239
_cell_length_b 6.239
_cell_length_c 6.239
_cell_angle_alpha 90.00
_cell_angle_beta 90.00
_cell_angle_gamma 90.00
_space_group_name_H-M_alt 'F -4 3 m'
_space_group_IT_number 216
_space_group_name_Hall 'F -4 2 3'
loop_
_atom_site_label
_atom_site_fract_x
_atom_site_fract_y
_atom_site_fract_z
Li1 0.000 0.000 0.000
Tb1 0.250 0.250 0.250
Co1 0.000 0.000 0.500
Si1 0.250 0.250 0.750
# Calculated density in g/cm³: 6.92
# Calculated volume in Å³/cell: 243
# E_form (uncorrected) in kJ/mol of formula units: -130

***

(8)
# LiThCoSi2 (PBE-GGA, relaxed)
data_LiThCoSi2
_chemical_formula_sum 'Li2 Th2 Co2 Si4'
_cell_length_a 4.107
_cell_length_b 4.107
_cell_length_c 9.717
_cell_angle_alpha 90.00
_cell_angle_beta 90.00
_cell_angle_gamma 90.00
_space_group_name_H-M_alt 'I -4 m 2'
_space_group_IT_number 119
_space_group_name_Hall 'I -4 -2'
loop_
_atom_site_label
_atom_site_fract_x
_atom_site_fract_y
_atom_site_fract_z
Li1 0.000 0.000 0.000
Th1 0.000 0.500 0.250
Co1 0.000 0.000 0.500
Si1 0.000 0.500 0.623
# Calculated density in g/cm³: 7.18
# Calculated volume in Å³/cell: 164
# E_form (uncorrected) in kJ/mol of formula units: -288

***

(9)
# LiZrCoSi (PBE-GGA, relaxed)
data_LiZrCoSi
_chemical_formula_sum 'Li4 Zr4 Co4 Si4'
_cell_length_a 5.984
_cell_length_b 5.984
_cell_length_c 5.984
_cell_angle_alpha 90.00
_cell_angle_beta 90.00
_cell_angle_gamma 90.00
_space_group_name_H-M_alt 'F -4 3 m'
_space_group_IT_number 216
_space_group_name_Hall 'F -4 2 3'
loop_
_atom_site_label
_atom_site_fract_x
_atom_site_fract_y
_atom_site_fract_z
Li1 0.000 0.000 0.000
Zr1 0.250 0.250 0.250
Co1 0.000 0.000 0.500
Si1 0.250 0.250 0.750
# Calculated density in g/cm³: 5.74
# Calculated volume in Å³/cell: 214
# E_form (uncorrected) in kJ/mol of formula units: -222

***

(10)
# LiSm3Co (PBE-GGA, relaxed)
data_LiSm3Co
_chemical_formula_sum 'Li2 Sm6 Co2'
_cell_length_a 7.595
_cell_length_b 3.881
_cell_length_c 10.095
_cell_angle_alpha 90.00
_cell_angle_beta 108.47
_cell_angle_gamma 90.00
_space_group_name_H-M_alt 'P 1 21/m 1'
_space_group_IT_number 11
loop_
_space_group_symop_operation_xyz
'x,y,z'
'-x,-y,-z'
'-x,y+1/2,-z'
'x,-y+1/2,z'
loop_
_atom_site_label
_atom_site_fract_x
_atom_site_fract_y
_atom_site_fract_z
Li1 0.146 0.250 0.110
Sm1 0.047 0.750 0.360
Sm2 0.306 0.750 0.911
Sm3 0.463 0.250 0.659
Co1 0.210 0.750 0.641
# Calculated density in g/cm³: 6.08
# Calculated volume in Å³/cell: 282
# Energy above the lowest structure with this stoichiometry in eV per atom: 0.0000

***

(11)
# LiSm6Co2 (PBE-GGA, relaxed)
data_LiSm6Co2
_chemical_formula_sum 'Li4 Sm24 Co8'
_cell_length_a 9.528
_cell_length_b 9.863
_cell_length_c 10.098
_cell_angle_alpha 90.00
_cell_angle_beta 90.00
_cell_angle_gamma 90.00
_space_group_name_H-M_alt 'I m m m'
_space_group_IT_number 71
_space_group_name_Hall '-I 2 2'
loop_
_atom_site_label
_atom_site_fract_x
_atom_site_fract_y
_atom_site_fract_z
Li1 0.000 0.000 0.000
Li2 0.000 0.000 0.500
Sm1 0.000 0.200 0.230
Sm2 0.184 0.500 0.180
Sm3 0.216 0.319 0.500
Co1 0.000 0.333 0.000
Co2 0.000 0.500 0.387
# Calculated density in g/cm³: 7.19
# Calculated volume in Å³/cell: 949
# Total DFT energy (no corrections) in eV/atom: -5.01

***

(12)
# LiSmCo (PBE-GGA, relaxed)
data_LiSmCo
_chemical_formula_sum 'Li4 Sm4 Co4'
_cell_length_a 12.737
_cell_length_b 3.875
_cell_length_c 5.181
_cell_angle_alpha 90.00
_cell_angle_beta 98.71
_cell_angle_gamma 90.00
_space_group_name_H-M_alt 'C 1 2/m 1'
_space_group_IT_number 12
loop_
_space_group_symop_operation_xyz
'x,y,z'
'-x,-y,-z'
'-x,y,-z'
'x,-y,z'
'x+1/2,y+1/2,z'
'-x+1/2,-y+1/2,-z'
'-x+1/2,y+1/2,-z'
'x+1/2,-y+1/2,z'
loop_
_atom_site_label
_atom_site_fract_x
_atom_site_fract_y
_atom_site_fract_z
Li1 0.088 0.000 0.319
Sm1 0.135 0.500 0.851
Co1 0.237 0.500 0.391
# Calculated density in g/cm³: 5.68
# Calculated volume in Å³/cell: 253
# Energy above the lowest structure with this stoichiometry in eV per atom: 0.0679

***

(13)
# LiSm4Co (PBE-GGA, relaxed)
data_LiSm4Co
_chemical_formula_sum 'Li4 Sm16 Co4'
_cell_length_a 8.939
_cell_length_b 12.438
_cell_length_c 6.223
_cell_angle_alpha 90.00
_cell_angle_beta 105.69
_cell_angle_gamma 90.00
_space_group_name_H-M_alt 'C 1 2/c 1'
_space_group_IT_number 15
loop_
_space_group_symop_operation_xyz
'x,y,z'
'-x,-y,-z'
'-x,y,-z+1/2'
'x,-y,z+1/2'
'x+1/2,y+1/2,z'
'-x+1/2,-y+1/2,-z'
'-x+1/2,y+1/2,-z+1/2'
'x+1/2,-y+1/2,z+1/2'
loop_
_atom_site_label
_atom_site_fract_x
_atom_site_fract_y
_atom_site_fract_z
Li1 0.000 0.125 0.250
Sm1 0.101 0.336 0.539
Sm2 0.214 0.090 0.897
Co1 0.000 0.499 0.750
# Calculated density in g/cm³: 6.65
# Calculated volume in Å³/cell: 666
# Energy above the lowest structure with this stoichiometry in eV per atom: 0.0795